Here is crystalline Co3NiP4 at its relaxed geometry from OQMD via LeMat-Bulk. Energies are from GGA-PBE.

The structure in extended XYZ format:
```
8
Lattice="3.362 0.000 0.000 -1.681 2.912 0.000 0.000 0.000 9.862" Properties=species:S:1:pos:R:3 pbc="T T T"
Co 0.000 0.000 0.000
Co 0.000 0.000 2.452
Co 0.000 0.000 7.409
Ni 0.000 0.000 4.931
P 0.000 1.941 1.206
P 0.000 1.941 3.642
P 1.681 0.971 6.220
P 1.681 0.971 8.656
```

## Properties
**E**: -6.4640 eV per atom